(1)
Below is crystalline AgHg3Pb at its relaxed geometry, with properties calculated at the PBE level.

a b c (Å): 5.333 5.333 5.333
angles (deg): 90.00 90.00 90.00
Space group Pm-3m (No. 221)
One atom of each set of equivalent atoms:
Ag 0.000 0.000 0.000 x1
Hg 0.000 0.000 0.500 x3
Pb 0.500 0.500 0.500 x1

Output
- DFT total energy: -0.0882 Ry/atom
- Calculated formation energy: 0.29 eV per atom

(2)
Below is crystalline AgHg2Pb at its relaxed geometry, with properties calculated at the PBE level.

a b c (Å): 3.474 3.474 8.279
angles (deg): 90.00 90.00 90.00
Space group P4mm (No. 99)
One atom of each set of equivalent atoms:
Ag 0.000 0.000 0.000 x1
Hg 0.000 0.000 0.472 x1
Hg 0.500 0.500 0.216 x1
Pb 0.500 0.500 0.764 x1

Output
- DFT total energy: -0.1266 Ry/atom
- Calculated formation energy: 0.07 eV per atom

(3)
Below is crystalline AgHgPb6 at its relaxed geometry, with properties calculated at the PBE level.

a b c (Å): 4.780 4.780 10.099
angles (deg): 90.00 90.00 90.00
Space group P4/mmm (No. 123)
One atom of each set of equivalent atoms:
Ag 0.000 0.000 0.000 x1
Hg 0.000 0.000 0.500 x1
Pb 0.000 0.500 0.241 x4
Pb 0.500 0.500 0.000 x1
Pb 0.500 0.500 0.500 x1

Output
- DFT total energy: -0.2299 Ry/atom
- Calculated formation energy: 0.05 eV per atom

(4)
Below is crystalline Ag2HgPb at its relaxed geometry, with properties calculated at the PBE level.

a b c (Å): 7.154 7.154 7.154
angles (deg): 90.00 90.00 90.00
Space group F-43m (No. 216)
One atom of each set of equivalent atoms:
Ag 0.000 0.000 0.000 x4
Ag 0.250 0.250 0.250 x4
Hg 0.250 0.250 0.750 x4
Pb 0.000 0.000 0.500 x4

Output
- DFT total energy: -0.1664 Ry/atom
- Calculated formation energy: 0.16 eV per atom

(5)
Below is crystalline AgHg2Pb at its relaxed geometry, with properties calculated at the PBE level.

a b c (Å): 11.521 3.526 5.392
angles (deg): 90.00 115.77 90.00
Space group C2/m (No. 12)
One atom of each set of equivalent atoms:
Ag 0.000 0.000 0.000 x2
Hg 0.230 0.500 0.230 x4
Pb 0.000 0.500 0.500 x2

Output
- DFT total energy: -0.1258 Ry/atom
- Calculated formation energy: 0.08 eV per atom

(6)
Below is crystalline AgHg2Pb8 at its relaxed geometry, with properties calculated at the PBE level.

a b c (Å): 15.401 5.573 10.794
angles (deg): 90.00 133.33 90.00
Space group C2/m (No. 12)
One atom of each set of equivalent atoms:
Ag 0.000 0.000 0.000 x2
Hg 0.191 0.500 0.682 x4
Pb 0.005 0.500 0.708 x4
Pb 0.144 0.500 0.147 x4
Pb 0.155 0.000 0.415 x4
Pb 0.164 0.000 0.925 x4

Output
- DFT total energy: -0.2151 Ry/atom
- Calculated formation energy: 0.08 eV per atom

(7)
Below is crystalline AgHg2Pb at its relaxed geometry, with properties calculated at the PBE level.

a b c (Å): 4.521 4.521 9.651
angles (deg): 90.00 90.00 90.00
Space group I-4m2 (No. 119)
One atom of each set of equivalent atoms:
Ag 0.000 0.000 0.000 x2
Hg 0.000 0.000 0.500 x2
Hg 0.000 0.500 0.750 x2
Pb 0.000 0.500 0.250 x2

Output
- DFT total energy: -0.1243 Ry/atom
- Calculated formation energy: 0.10 eV per atom

(8)
Below is crystalline AgHg2Pb5 at its relaxed geometry, with properties calculated at the PBE level.

a b c (Å): 6.673 12.962 5.186
angles (deg): 90.00 90.00 90.00
Space group Pbam (No. 55)
One atom of each set of equivalent atoms:
Ag 0.000 0.000 0.000 x2
Hg 0.154 0.356 0.500 x4
Pb 0.000 0.500 0.000 x2
Pb 0.097 0.768 0.000 x4
Pb 0.174 0.102 0.500 x4

Output
- DFT total energy: -0.1991 Ry/atom
- Calculated formation energy: 0.04 eV per atom

(9)
Below is crystalline AgHgPb5 at its relaxed geometry, with properties calculated at the PBE level.

a b c (Å): 4.912 4.912 8.574
angles (deg): 90.00 90.00 90.00
Space group P4/mmm (No. 123)
One atom of each set of equivalent atoms:
Ag 0.000 0.000 0.000 x1
Hg 0.000 0.000 0.500 x1
Pb 0.000 0.500 0.209 x4
Pb 0.500 0.500 0.500 x1

Output
- DFT total energy: -0.2231 Ry/atom
- Calculated formation energy: 0.06 eV per atom

(10)
Below is crystalline Ag2HgPb8 at its relaxed geometry, with properties calculated at the PBE level.

a b c (Å): 9.140 13.039 5.620
angles (deg): 90.00 105.36 90.00
Space group C2/m (No. 12)
One atom of each set of equivalent atoms:
Ag 0.000 0.177 0.000 x4
Hg 0.000 0.500 0.500 x2
Pb 0.000 0.255 0.500 x4
Pb 0.139 0.000 0.335 x4
Pb 0.202 0.373 0.113 x8

Output
- DFT total energy: -0.2334 Ry/atom
- Calculated formation energy: 0.07 eV per atom

(11)
Below is crystalline AgHg5Pb2 at its relaxed geometry, with properties calculated at the PBE level.

a b c (Å): 6.017 6.037 6.096
angles (deg): 96.57 104.70 96.18
Space group P1 (No. 1)
One atom of each set of equivalent atoms:
Ag 0.000 0.000 0.000 x1
Hg 0.190 0.361 0.764 x1
Hg 0.297 0.398 0.299 x1
Hg 0.626 0.069 0.610 x1
Hg 0.730 0.582 0.716 x1
Hg 0.758 0.366 0.173 x1
Pb 0.092 0.845 0.470 x1
Pb 0.477 0.843 0.080 x1

Output
- DFT total energy: -0.1038 Ry/atom
- Calculated formation energy: 0.06 eV per atom

(12)
Below is crystalline AgHgPb at its relaxed geometry, with properties calculated at the PBE level.

a b c (Å): 5.0367 5.0367 3.3702
angles (deg): 90.00 90.00 120.00
Space group P3m1 (No. 156)
One atom of each set of equivalent atoms:
Ag 0.0000 0.0000 0.0000 x1
Hg 0.6667 0.3333 0.0055 x1
Pb 0.3333 0.6667 0.5040 x1

Output
- DFT total energy: -0.1611 Ry/atom
- Calculated formation energy: 0.10 eV per atom

(13)
Below is crystalline AgHgPb at its relaxed geometry, with properties calculated at the PBE level.

a b c (Å): 6.845 6.845 6.845
angles (deg): 90.00 90.00 90.00
Space group F-43m (No. 216)
One atom of each set of equivalent atoms:
Ag 0.000 0.000 0.000 x4
Hg 0.250 0.250 0.250 x4
Pb 0.250 0.250 0.750 x4

Output
- DFT total energy: -0.1610 Ry/atom
- Calculated formation energy: 0.10 eV per atom

(14)
Below is crystalline AgHg2Pb at its relaxed geometry, with properties calculated at the PBE level.

a b c (Å): 3.335 3.540 8.284
angles (deg): 90.00 90.00 90.00
Space group Pmmm (No. 47)
One atom of each set of equivalent atoms:
Ag 0.000 0.000 0.000 x1
Hg 0.500 0.500 0.214 x2
Pb 0.000 0.000 0.500 x1

Output
- DFT total energy: -0.1262 Ry/atom
- Calculated formation energy: 0.07 eV per atom

(15)
Below is crystalline Ag2HgPb at its relaxed geometry, with properties calculated at the PBE level.

a b c (Å): 3.264 5.158 10.788
angles (deg): 90.00 90.00 90.00
Space group Imm2 (No. 44)
One atom of each set of equivalent atoms:
Ag 0.000 0.000 0.000 x2
Ag 0.000 0.500 0.282 x2
Hg 0.000 0.000 0.536 x2
Pb 0.000 0.500 0.751 x2

Output
- DFT total energy: -0.1705 Ry/atom
- Calculated formation energy: 0.11 eV per atom

(16)
Below is crystalline Ag2HgPb at its relaxed geometry, with properties calculated at the PBE level.

a b c (Å): 6.456 8.344 3.332
angles (deg): 90.00 90.56 90.00
Space group C2/m (No. 12)
One atom of each set of equivalent atoms:
Ag 0.250 0.250 0.000 x4
Hg 0.000 0.000 0.500 x2
Pb 0.000 0.500 0.500 x2

Output
- DFT total energy: -0.1697 Ry/atom
- Calculated formation energy: 0.12 eV per atom

(17)
Below is crystalline AgHgPb2 at its relaxed geometry, with properties calculated at the PBE level.

a b c (Å): 4.7072 4.7072 5.9218
angles (deg): 90.00 90.00 120.00
Space group P-3m1 (No. 164)
One atom of each set of equivalent atoms:
Ag 0.0000 0.0000 0.0000 x1
Hg 0.0000 0.0000 0.5000 x1
Pb 0.3333 0.6667 0.2163 x2

Output
- DFT total energy: -0.1865 Ry/atom
- Calculated formation energy: 0.11 eV per atom

(18)
Below is crystalline AgHgPb2 at its relaxed geometry, with properties calculated at the PBE level.

a b c (Å): 12.111 3.562 5.411
angles (deg): 90.00 115.14 90.00
Space group Cm (No. 8)
One atom of each set of equivalent atoms:
Ag 0.000 0.000 0.000 x2
Hg 0.286 0.000 0.763 x2
Pb 0.015 0.500 0.510 x2
Pb 0.232 0.500 0.211 x2

Output
- DFT total energy: -0.1890 Ry/atom
- Calculated formation energy: 0.07 eV per atom

(19)
Below is crystalline AgHgPb2 at its relaxed geometry, with properties calculated at the PBE level.

a b c (Å): 3.640 3.640 7.880
angles (deg): 90.00 90.00 90.00
Space group P4mm (No. 99)
One atom of each set of equivalent atoms:
Ag 0.000 0.000 0.000 x1
Hg 0.500 0.500 0.195 x1
Pb 0.000 0.000 0.455 x1
Pb 0.500 0.500 0.768 x1

Output
- DFT total energy: -0.1900 Ry/atom
- Calculated formation energy: 0.06 eV per atom

(20)
Below is crystalline AgHgPb4 at its relaxed geometry, with properties calculated at the PBE level.

a b c (Å): 9.108 9.108 9.108
angles (deg): 90.00 90.00 90.00
Space group F-43m (No. 216)
One atom of each set of equivalent atoms:
Ag 0.000 0.000 0.000 x4
Hg 0.250 0.250 0.750 x4
Pb 0.125 0.125 0.375 x16

Output
- DFT total energy: -0.1989 Ry/atom
- Calculated formation energy: 0.29 eV per atom

no.,M_tot (μB per atom),mass density (g/cm3)
1,0.0000,10.04
2,0.0000,11.90
3,0.0000,11.17
4,0.0000,11.31
5,0.0000,12.06
6,0.0000,10.68
7,0.0000,12.06
8,0.0000,11.44
9,0.0000,10.79
10,0.0000,10.67
11,0.0000,12.03
12,0.0000,11.56
13,0.0000,10.68
14,0.0000,12.16
15,0.0000,11.40
16,0.0000,11.54
17,0.0000,10.56
18,0.0000,11.36
19,0.0000,11.50
20,0.0000,10.00